(1)
{"formula": "Li5Ac2Pd4", "functional": "PBE", "state": "relaxed", "n_ef_per_ev_cell": 4.27, "e_above_lowest_polymorph_mev_per_atom": 11, "e_tot_ev_per_cell": -43.32, "formation_energy_kj_per_mol_fu": -460, "cell": [[6.636, -2.688, 0.000], [6.636, 2.688, 0.000], [-4.514, 0.000, 6.688]], "species": ["Li", "Li", "Li", "Li", "Li", "Ac", "Ac", "Pd", "Pd", "Pd", "Pd"], "frac_coords": [[0.000, 0.000, 0.000], [0.203, 0.692, 0.259], [0.308, 0.797, 0.741], [0.692, 0.203, 0.259], [0.797, 0.308, 0.741], [0.278, 0.278, 0.721], [0.722, 0.722, 0.279], [0.220, 0.220, 0.045], [0.374, 0.374, 0.458], [0.626, 0.626, 0.542], [0.780, 0.780, 0.955]]}

(2)
{"formula": "B3PbO", "functional": "PBE", "state": "relaxed", "n_ef_per_ev_cell": 3.85, "e_above_lowest_polymorph_mev_per_atom": 1074, "e_tot_ev_per_cell": -14.42, "formation_energy_uncorrected_ev_per_atom": 2.8565, "cell": [[4.637, 0.000, 0.000], [0.000, 4.637, 0.000], [0.000, 0.000, 4.637]], "species": ["B", "B", "B", "Pb", "O"], "frac_coords": [[0.000, 0.000, 0.500], [0.000, 0.500, 0.000], [0.500, 0.000, 0.000], [0.000, 0.000, 0.000], [0.500, 0.500, 0.500]]}